No. 1
Computed, not measured: a geometry-optimized Zn2Cr2I structure at the PBEsol level of DFT.

Energy, eV per formula unit: -22.4
Mass density, g/cm³: 6.339
ΔE_f (raw), meV per atom: 601

a b c (Å): 3.593 3.593 7.766
angles (deg): 103.37 103.37 90.00
Fractional positions:
I 0.000 0.000 0.000
Cr 0.612 0.612 0.224
Cr 0.388 0.388 0.776
Zn 0.750 0.250 0.500
Zn 0.250 0.750 0.500

No. 2
Computed, not measured: a geometry-optimized KZnTc structure at the PBEsol level of DFT.

Calculated formation energy, eV/atom: 1.65
Energy, eV per formula unit: -9.0
Mass density, g/cm³: 4.579

a b c (Å): 4.701 4.701 4.701
angles (deg): 60.00 60.00 60.00
Fractional positions:
K 0.000 0.000 0.000
Zn 0.750 0.750 0.750
Tc 0.500 0.500 0.500

No. 3
Computed, not measured: a geometry-optimized Cd4AgTe structure at the PBEsol level of DFT.

Energy, eV per formula unit: -10.4
Mass density, g/cm³: 8.527
ΔE_f (raw), meV per atom: 204

a b c (Å): 5.736 5.736 5.736
angles (deg): 60.00 60.00 60.00
Fractional positions:
Cd 0.124 0.625 0.625
Cd 0.625 0.625 0.625
Cd 0.625 0.625 0.124
Cd 0.625 0.124 0.625
Te 0.250 0.250 0.250
Ag 0.000 0.000 0.000

No. 4
Computed, not measured: a geometry-optimized AlSiIr structure at the PBEsol level of DFT.

Energy, eV per formula unit: -20.8
Mass density, g/cm³: 9.759
ΔE_f (raw), meV per atom: -377

a b c (Å): 2.823 2.823 5.646
angles (deg): 104.47 104.47 90.00
Fractional positions:
Ir 0.326 0.326 0.652
Al 0.994 0.994 0.987
Si 0.681 0.681 0.361

No. 5
Computed, not measured: a geometry-optimized HfNiAg3 structure at the PBEsol level of DFT.

Calculated formation energy, eV/atom: 1.82
Energy, eV per formula unit: -17.5
Mass density, g/cm³: 7.313

a b c (Å): 5.031 5.031 5.031
angles (deg): 90.00 90.00 90.00
Fractional positions:
Ni 0.500 0.500 0.500
Ag 0.000 0.500 0.000
Ag 0.000 0.000 0.500
Ag 0.500 0.000 0.000
Hf 0.000 0.000 0.000

No. 6
Computed, not measured: a geometry-optimized Be2HgPb structure at the PBEsol level of DFT.

Calculated formation energy, eV/atom: 0.59
Energy, eV per formula unit: -10.2
Mass density, g/cm³: 9.276
Energy above the lowest structure with this stoichiometry, meV/atom: 241

a b c (Å): 3.165 4.127 5.919
angles (deg): 90.00 80.45 90.00
Fractional positions:
Hg 0.500 0.500 0.000
Be 0.196 0.000 0.155
Be 0.804 0.000 0.845
Pb 0.000 0.500 0.500

No. 7
Computed, not measured: a geometry-optimized NaTe2PtN structure at the PBEsol level of DFT.

Energy, eV per formula unit: -16.2
Mass density, g/cm³: 7.395
ΔE_f (raw), meV per atom: 1548

a b c (Å): 3.933 5.275 5.275
angles (deg): 90.00 90.00 90.00
Fractional positions:
Pt 0.500 0.500 0.500
Te 0.000 0.500 0.000
Te 0.000 0.000 0.500
N 0.500 0.000 0.000
Na 0.000 0.000 0.000

No. 8
Computed, not measured: a geometry-optimized SrCl structure at the PBEsol level of DFT.

Energy, eV per formula unit: -6.9
Mass density, g/cm³: 2.944
ΔE_f (raw), meV per atom: -1519

a b c (Å): 4.155 4.155 8.563
angles (deg): 104.04 104.04 90.00
Fractional positions:
Cl 0.250 0.750 0.500
Cl 0.000 0.000 0.000
Sr 0.750 0.250 0.500
Sr 0.500 0.500 0.000

No. 9
Computed, not measured: a geometry-optimized Y3Ir2 structure at the PBEsol level of DFT.

Calculated formation energy, eV/atom: -0.74
Energy, eV per formula unit: -43.8
Mass density, g/cm³: 9.513

a b c (Å): 4.724 4.724 5.881
angles (deg): 90.00 90.00 120.00
Fractional positions:
Ir 0.333 0.667 0.833
Ir 0.667 0.333 0.167
Y 0.333 0.667 0.337
Y 0.000 0.000 0.000
Y 0.667 0.333 0.663

No. 10
Computed, not measured: a geometry-optimized YZnOs3 structure at the PBEsol level of DFT.

Calculated formation energy, eV/atom: 3.04
Energy, eV per formula unit: -29.8
Mass density, g/cm³: 11.279

a b c (Å): 4.744 4.744 4.744
angles (deg): 90.00 90.00 90.00
Fractional positions:
Os 0.000 0.500 0.000
Os 0.500 0.000 0.000
Os 0.000 0.000 0.500
Zn 0.500 0.500 0.500
Y 0.000 0.000 0.000

No. 11
Computed, not measured: a geometry-optimized RhW2Se structure at the PBEsol level of DFT.

Energy, eV per formula unit: -39.0
Mass density, g/cm³: 15.492
ΔE_f (raw), meV per atom: 151

a b c (Å): 2.938 2.938 6.823
angles (deg): 90.00 90.00 90.00
Fractional positions:
Se 0.500 0.500 0.500
W 0.000 0.000 0.738
W 0.000 0.000 0.262
Rh 0.500 0.500 0.000

No. 12
Computed, not measured: a geometry-optimized MgMnSi2 structure at the PBEsol level of DFT.

Energy, eV per formula unit: -23.5
Mass density, g/cm³: 3.907
ΔE_f (raw), meV per atom: -123

a b c (Å): 2.905 4.137 5.207
angles (deg): 100.06 90.00 110.56
Fractional positions:
Mn 0.500 0.000 0.000
Si 0.232 0.465 0.179
Si 0.768 0.535 0.821
Mg 0.000 0.000 0.500

No. 13
Computed, not measured: a geometry-optimized Cd2InHg structure at the PBEsol level of DFT.

Calculated formation energy, eV/atom: 0.02
Energy, eV per formula unit: -5.8
Mass density, g/cm³: 9.851
Energy above the lowest structure with this stoichiometry, meV/atom: 21

a b c (Å): 3.053 5.543 6.243
angles (deg): 116.36 104.15 90.00
Fractional positions:
Cd 0.756 0.756 0.511
Cd 0.244 0.244 0.489
Hg 0.500 0.000 0.000
In 0.000 0.500 0.000

No. 14
Computed, not measured: a geometry-optimized Li3TcOs structure at the PBEsol level of DFT.

Calculated formation energy, eV/atom: 1.86
Energy, eV per formula unit: -20.1
Mass density, g/cm³: 5.952

a b c (Å): 4.418 4.418 4.418
angles (deg): 90.00 90.00 90.00
Fractional positions:
Li 0.000 0.000 0.500
Li 0.500 0.000 0.000
Li 0.000 0.500 0.000
Tc 0.500 0.500 0.500
Os 0.000 0.000 0.000

No. 15
Computed, not measured: a geometry-optimized MgZrCd2Rh structure at the PBEsol level of DFT.

Calculated formation energy, eV/atom: 0.67
Energy, eV per formula unit: -18.0
Mass density, g/cm³: 7.074

a b c (Å): 4.549 4.783 4.783
angles (deg): 90.00 90.00 90.00
Fractional positions:
Zr 0.500 0.500 0.500
Rh 0.500 0.000 0.000
Cd 0.000 0.000 0.500
Cd 0.000 0.500 0.000
Mg 0.000 0.000 0.000

No. 16
Computed, not measured: a geometry-optimized SbBrO structure at the PBEsol level of DFT.

Energy, eV per formula unit: -14.8
Mass density, g/cm³: 6.039
ΔE_f (raw), meV per atom: -1051
Energy above the lowest structure with this stoichiometry, meV/atom: 0

a b c (Å): 3.788 3.788 8.345
angles (deg): 90.00 90.00 90.00
Fractional positions:
Br 0.000 0.500 0.330
Br 0.500 0.000 0.670
Sb 0.500 0.000 0.146
Sb 0.000 0.500 0.854
O 0.500 0.500 0.000
O 0.000 0.000 0.000

No. 17
Computed, not measured: a geometry-optimized BaAlRe3 structure at the PBEsol level of DFT.

Calculated formation energy, eV/atom: 1.91
Energy, eV per formula unit: -36.7
Mass density, g/cm³: 11.747

a b c (Å): 4.675 4.675 4.675
angles (deg): 90.00 90.00 90.00
Fractional positions:
Al 0.000 0.000 0.000
Re 0.500 0.000 0.000
Re 0.000 0.000 0.500
Re 0.000 0.500 0.000
Ba 0.500 0.500 0.500

No. 18
Computed, not measured: a geometry-optimized InSbRh2 structure at the PBEsol level of DFT.

Energy, eV per formula unit: -25.0
Mass density, g/cm³: 10.953
ΔE_f (raw), meV per atom: -285

a b c (Å): 3.300 3.303 6.153
angles (deg): 90.00 90.00 90.00
Fractional positions:
Rh 0.000 0.000 0.756
Rh 0.000 0.000 0.244
Sb 0.500 0.500 0.000
In 0.500 0.500 0.500

No. 19
Computed, not measured: a geometry-optimized KTl2Sb2 structure at the PBEsol level of DFT.

Energy, eV per formula unit: -15.9
Mass density, g/cm³: 6.756
ΔE_f (raw), meV per atom: -79
Energy above the lowest structure with this stoichiometry, meV/atom: 12

a b c (Å): 4.644 4.644 8.537
angles (deg): 105.78 105.78 90.00
Fractional positions:
Sb 0.250 0.750 0.500
Sb 0.750 0.250 0.500
Tl 0.385 0.385 0.771
Tl 0.615 0.615 0.229
K 0.000 0.000 0.000

No. 20
Computed, not measured: a geometry-optimized BeCr2Re structure at the PBEsol level of DFT.

Calculated formation energy, eV/atom: 0.62
Energy, eV per formula unit: -35.3
Mass density, g/cm³: 9.811

a b c (Å): 2.538 2.538 8.504
angles (deg): 90.00 90.00 67.63
Fractional positions:
Cr 0.000 0.000 0.274
Cr 0.500 0.500 0.479
Be 0.500 0.500 0.760
Re 0.000 0.000 0.987